# 1
This record from Alexandria describes an optimized crystal structure of AgCl6F2. The functional is PBE.

```
AgCl6F2
1.0
-2.608 -0.426 2.304
-3.347 -9.968 3.009
-0.359 0.777 10.037
Ag Cl F
1 6 2
Direct
0.000 0.000 0.000
0.569 0.618 0.227
0.431 0.382 0.773
0.153 0.593 0.740
0.194 0.141 0.301
0.806 0.859 0.699
0.847 0.407 0.260
0.441 0.866 0.077
0.559 0.134 0.923
```

Fermi-level density of states	3.66	states/eV/cell
SG	P-1, No. 2
E	-2.25	eV per atom
total magnetization	0.0	μB/cell
calculated volume	26.54	A^3/atom



# 2
This record from Alexandria describes an optimized crystal structure of Ag5Cl5F2. The functional is PBE.

```
Ag5Cl5F2
1.0
-1.542 -2.445 2.281
4.453 -0.814 5.115
-0.444 7.616 10.831
Ag Cl F
5 5 2
Direct
0.892 0.834 0.383
0.372 0.516 0.742
0.628 0.484 0.258
0.108 0.166 0.617
0.000 0.000 0.000
0.500 0.500 0.500
0.370 0.268 0.991
0.259 0.153 0.328
0.741 0.847 0.672
0.630 0.732 0.009
0.977 0.285 0.762
0.023 0.715 0.238
```

Fermi-level density of states	7.31	states/eV/cell
SG	P-1, No. 2
E	-2.86	eV per atom
total magnetization	0.7	μB/cell
calculated volume	22.81	A^3/atom



# 3
This record from Alexandria describes an optimized crystal structure of Ag4ClF5. The functional is PBE.

```
Ag4ClF5
1.0
5.702 0.000 0.000
0.000 7.178 0.000
0.000 0.000 8.489
Ag Cl F
8 2 10
Direct
0.020 0.000 0.729
0.519 0.782 0.000
0.519 0.218 0.000
0.020 0.000 0.271
0.980 0.500 0.229
0.481 0.718 0.500
0.481 0.282 0.500
0.980 0.500 0.771
0.868 0.000 0.000
0.132 0.500 0.500
0.243 0.743 0.810
0.243 0.257 0.810
0.793 0.500 0.000
0.243 0.743 0.190
0.243 0.257 0.190
0.757 0.757 0.310
0.757 0.243 0.310
0.207 0.000 0.500
0.757 0.243 0.690
0.757 0.757 0.690
```

Fermi-level density of states	21.10	states/eV/cell
SG	Pmmn, No. 59
E	-3.21	eV per atom
total magnetization	0.0	μB/cell
calculated volume	17.37	A^3/atom



- Number 1 is which compound?
  AgCl6F2